No. 1
The following is a PBE+U calculation of an optimized crystal structure of PmCrTeO5, from Alexandria via LeMat-Bulk.

Computed properties:
The energy is -6.84 eV per atom.

extended XYZ file:
```
16
Lattice="-4.2831 -2.3463 4.2981 5.9902 -2.4499 0.6627 0.4128 9.0545 0.9084" Properties=species:S:1:pos:R:3 pbc="T T T"
Pm 0.0000 0.0000 0.0000
Pm 0.2064 4.5273 0.4542
O 2.9164 4.9639 3.8299
O 0.0245 0.4637 4.3260
O -0.2566 3.9715 5.3714
O 2.3766 0.2868 0.4979
O -0.7965 -0.7056 2.0394
O -1.3225 4.8535 2.3342
O 2.0955 3.7946 1.5433
O -3.2641 4.4375 4.7285
O 3.4425 -0.5952 3.5351
O 5.3841 -0.1791 1.1408
Cr -1.5468 4.4201 4.1207
Cr 3.6668 -0.1618 1.7485
Te -1.6375 -0.1083 3.6256
Te 3.7575 4.3666 2.2437
```

=====

No. 2
The following is a PBE+U calculation of an optimized crystal structure of PmCrTeO2, from Alexandria via LeMat-Bulk.

Computed properties:
The energy is -7.04 eV per atom. For the density of states at the Fermi level, the calculation gives 0.100 states/eV/atom.

extended XYZ file:
```
10
Lattice="-2.8692 0.8641 -4.8382 1.4146 -5.3443 -1.7934 -5.5740 0.5431 3.4025" Properties=species:S:1:pos:R:3 pbc="T T T"
Te -3.9925 -3.1387 -3.2135
Te -3.0360 -0.7984 -0.0157
Pm -1.0312 -2.9029 -1.5804
Pm -5.9973 -1.0342 -1.6487
O 1.0703 -4.0434 -1.3568
O -1.0902 -0.8688 -2.8556
O 0.3443 -1.3009 -0.4365
O -0.3643 -3.6114 -3.7759
Cr -0.7477 0.2027 -1.1939
Cr -6.2808 -4.1398 -2.0352
```

=====

No. 3
The following is a PBE+U calculation of an optimized crystal structure of PmThCr2O8, from Alexandria via LeMat-Bulk.

Computed properties:
The energy is -8.05 eV per atom.

extended XYZ file:
```
12
Lattice="6.1358 0.0359 0.0000 -2.6892 5.5152 0.0000 -1.7233 -2.7756 5.1939" Properties=species:S:1:pos:R:3 pbc="T T T"
Cr 3.0679 0.0179 2.5969
Cr 1.7233 2.7756 0.0000
O -0.2055 1.4339 4.2629
O 2.8746 1.5330 3.5604
O 3.2612 -1.4972 3.5604
O 4.5116 0.5167 1.6335
O 3.0996 3.2273 0.9310
O 0.2055 -1.4339 4.2629
O 0.3470 2.3238 0.9310
O 1.6242 -0.4808 1.6335
Pm -1.3446 2.7576 2.5969
Th 0.0000 0.0000 0.0000
```